The following is a DFT calculation (SCAN) of a PBEsol-optimized structure of LaCdIn2Te.

Summary:
density of states at the Fermi level: 2.9 states/eV/f.u.
raw formation energy: 3.310 eV per formula unit

Lattice parameters (Å, degrees): 6.028 6.028 5.826 90.00 90.00 90.00
Space group P4/mmm (No. 123)
Asymmetric unit:
La1 0.000 0.000 0.000
Cd1 0.000 0.000 0.500
In1 0.000 0.500 0.000
Te1 0.500 0.500 0.500